[1]
6
Lattice="-1.434 -2.389 -2.829 2.357 -3.932 2.126 -6.439 0.927 2.847" Properties=species:S:1:pos:R:3 comment="BeGeTe | the Alexandria database | PBE-GGA | optimized geometry" space_group="C2/m, No. 12" dos_ef_per_ev_atom=0.24 pbc="T T T"
Be -3.520 -4.961 0.732
Be -1.997 -0.433 1.412
Ge -1.734 -1.403 -0.672
Ge -3.782 -3.992 2.816
Te -3.929 -0.853 2.780
Te -1.587 -4.542 -0.636

[2]
5
Lattice="4.417 0.000 0.000 0.000 4.417 0.000 0.000 0.000 4.417" Properties=species:S:1:pos:R:3 comment="Be3GeTe | the Alexandria database | PBE-GGA | optimized geometry" space_group="Pm-3m, No. 221" dos_ef_per_ev_atom=0.06 pbc="T T T"
Be 2.208 0.000 0.000
Be 0.000 0.000 2.208
Be 0.000 2.208 0.000
Te 2.208 2.208 2.208
Ge 0.000 0.000 0.000

[3]
6
Lattice="4.073 -0.002 0.000 0.748 4.973 0.001 1.428 2.152 7.605" Properties=species:S:1:pos:R:3 comment="BeGeTe | the Alexandria database | PBE-GGA | optimized geometry" space_group="P1, No. 1" dos_ef_per_ev_atom=0.03 pbc="T T T"
Be 2.391 2.439 0.145
Be 2.363 4.846 0.536
Te 1.909 1.519 2.446
Te 4.049 2.819 6.108
Ge 4.633 4.584 2.606
Ge 4.423 3.682 0.127

no.,energy above the lowest structure with this stoichiometry (meV/atom),E_form (uncorrected) (eV/atom),magnetization (μB/f.u.)
1,108,0.176,0.0
2,0,0.660,0.0
3,41,0.109,0.0